1.
## Nd2YCd2In2 (PBE)

Data for an optimized crystal structure of Nd2YCd2In2.

Cell: 9.661 9.661 9.661 Å, 29.75 29.75 29.75°
Fractional coordinates of all 7 atoms:
Nd  0.128  0.128  0.128
Nd  0.872  0.872  0.872
Y  0.000  0.000  0.000
Cd  0.393  0.393  0.393
Cd  0.607  0.607  0.607
In  0.263  0.263  0.263
In  0.737  0.737  0.737

Properties
Energy of formation (meV/atom): -285.2
E_tot (eV/atom): -3.61
V (Å³/atom): 28.1

=====

2.
## Sr2Se (PBE)

Data for an optimized crystal structure of Sr2Se.

Cell: 6.873 6.873 6.873 Å, 60.00 60.00 60.00°
Fractional coordinates of all 6 atoms:
Sr  0.000  0.000  0.000
Sr  0.000  0.000  0.500
Sr  0.000  0.500  0.000
Sr  0.500  0.000  0.000
Se  0.375  0.375  0.375
Se  0.625  0.625  0.625

Properties
Raw formation energy (eV/atom): -0.093
E_tot (eV/atom): -2.38
V (Å³/atom): 38.3

=====

Question: Among the records above, which one has the lowest V?
Answer: Nd2YCd2In2